# PBE with a Hubbard U Cs2PaV3O12, optimized geometry
data_Cs2PaV3O12
_chemical_formula_sum 'Cs6 Pa3 V9 O36'
_cell_length_a 7.1896
_cell_length_b 7.1896
_cell_length_c 18.8629
_cell_angle_alpha 90.00
_cell_angle_beta 90.00
_cell_angle_gamma 120.00
_symmetry_space_group_name_H-M 'R -3 m'
_symmetry_Int_Tables_number 166
_symmetry_space_group_name_Hall '-R 3 2"'
loop_
_atom_site_label
_atom_site_type_symbol
_atom_site_fract_x
_atom_site_fract_y
_atom_site_fract_z
Cs1 Cs 0.0000 0.0000 0.1130
Pa1 Pa 0.0000 0.0000 0.5000
V1 V 0.0000 0.5000 0.0000
O1 O 0.0561 0.5281 0.0992
O2 O 0.0886 0.5443 0.3453
# Fermi-level density of states (states/eV per cell): 36.5
# Magnetization (μB per formula unit): 0.0
# DFT total energy (eV/atom): -7.176